This record from Alexandria describes crystalline Na3MgMn2O6 at its relaxed geometry. The functional is GGA+U.

Output
DFT total energy: -5.9608 eV/atom
Space group: C2/m (12)
DOS(E_F): 0.28 states/eV/atom
V: 130.2 Å³/f.u.

abc: 3.093 6.447 7.042
angles: 107.68 102.68 90.00
Each line ends with the local moment (μB).
Positions (direct):
Na 0.500 0.500 0.000  0.00
Na 0.837 0.167 0.674  0.00
Na 0.163 0.833 0.326  0.00
Mg 0.500 0.000 0.000  0.01
Mn 0.834 0.672 0.669  3.67
Mn 0.166 0.328 0.331  3.67
O 0.339 0.881 0.678  -0.09
O 0.682 0.557 0.363  -0.10
O 0.661 0.119 0.322  -0.09
O 0.019 0.236 0.038  -0.04
O 0.981 0.764 0.962  -0.04
O 0.318 0.443 0.637  -0.10